w:
HfCr2Ni2 | GGA-PBE | relaxed

Structure (POSCAR):
```
HfCr2Ni2
1.0
-1.678 1.678 6.057
1.678 -1.678 6.057
1.678 1.678 -6.057
Hf Cr Ni
1 2 2
direct
0.000 0.000 0.000 Hf
0.250 0.750 0.500 Cr
0.750 0.250 0.500 Cr
0.402 0.402 0.000 Ni
0.598 0.598 0.000 Ni
```

Values from the calculation:
* space group: I4/mmm, No. 139
* density of states at the Fermi level: 9.92 states/eV/f.u.
* ρ: 9.736 Mg/m³

=====

x:
HfCr2Ni2 | GGA-PBE | relaxed

Structure (POSCAR):
```
HfCr2Ni2
1.0
-1.878 1.878 4.954
1.878 -1.878 4.954
1.878 1.878 -4.954
Hf Cr Ni
1 2 2
direct
0.000 0.000 0.000 Hf
0.396 0.396 0.000 Cr
0.604 0.604 0.000 Cr
0.250 0.750 0.500 Ni
0.750 0.250 0.500 Ni
```

Values from the calculation:
* space group: I4/mmm, No. 139
* density of states at the Fermi level: 3.99 states/eV/f.u.
* ρ: 9.499 Mg/m³

=====

Stability verdict: w, ahead by 84 meV per atom

=====

w:
Zr2BeO | GGA-PBE | relaxed

Structure (POSCAR):
```
Zr2BeO
1.0
-2.598 2.598 5.370
2.598 -2.598 5.370
2.598 2.598 -5.370
Zr Be O
4 2 2
direct
0.069 0.625 0.944 Zr
0.375 0.319 0.444 Zr
0.681 0.125 0.056 Zr
0.875 0.931 0.556 Zr
0.250 0.750 0.500 Be
0.500 0.500 0.000 Be
0.000 0.000 0.000 O
0.750 0.250 0.500 O
```

Values from the calculation:
* space group: I-42d, No. 122
* density of states at the Fermi level: 0.81 states/eV/f.u.
* ρ: 4.751 Mg/m³

=====

x:
Zr2BeO | GGA-PBE | relaxed

Structure (POSCAR):
```
Zr2BeO
1.0
0.000 3.077 3.077
3.077 0.000 3.077
3.077 3.077 0.000
Zr Be O
2 1 1
direct
0.250 0.250 0.250 Zr
0.750 0.750 0.750 Zr
0.000 0.000 0.000 Be
0.500 0.500 0.500 O
```

Values from the calculation:
* space group: Fm-3m, No. 225
* density of states at the Fermi level: 1.71 states/eV/f.u.
* ρ: 5.910 Mg/m³

=====

Stability verdict: w, ahead by 464 meV per atom

=====

w:
BC2 | GGA-PBE | relaxed

Structure (POSCAR):
```
BC2
1.0
2.558 0.000 0.000
-1.279 2.215 0.000
0.000 0.000 13.478
B C
4 8
direct
0.000 0.000 0.000 B
0.000 0.000 0.125 B
0.333 0.667 0.207 B
0.333 0.667 0.787 B
0.000 0.000 0.515 C
0.000 0.000 0.631 C
0.333 0.667 0.324 C
0.333 0.667 0.668 C
0.667 0.333 0.362 C
0.667 0.333 0.477 C
0.667 0.333 0.841 C
0.667 0.333 0.945 C
```

Values from the calculation:
* space group: P3m1, No. 156
* density of states at the Fermi level: 0.58 states/eV/f.u.
* ρ: 3.029 Mg/m³

=====

x:
BC2 | GGA-PBE | relaxed

Structure (POSCAR):
```
BC2
1.0
2.603 0.000 0.000
-1.302 2.255 0.000
0.000 0.000 16.032
B C
4 8
direct
0.000 0.000 0.000 B
0.000 0.000 0.285 B
0.333 0.667 0.744 B
0.667 0.333 0.858 B
0.000 0.000 0.508 C
0.000 0.000 0.902 C
0.333 0.667 0.044 C
0.333 0.667 0.137 C
0.333 0.667 0.508 C
0.667 0.333 0.170 C
0.667 0.333 0.272 C
0.667 0.333 0.754 C
```

Values from the calculation:
* space group: P3m1, No. 156
* density of states at the Fermi level: 0.52 states/eV/f.u.
* ρ: 2.459 Mg/m³

=====

Stability verdict: x, ahead by 27 meV per atom

=====

w:
Zr2CrW | GGA-PBE | relaxed

Structure (POSCAR):
```
Zr2CrW
1.0
-1.641 2.399 4.505
1.641 -2.399 4.505
1.641 2.399 -4.505
Zr Cr W
2 1 1
direct
0.235 0.235 0.000 Zr
0.765 0.765 0.000 Zr
0.000 0.500 0.500 Cr
0.500 0.000 0.500 W
```

Values from the calculation:
* space group: Immm, No. 71
* density of states at the Fermi level: 5.27 states/eV/f.u.
* ρ: 9.794 Mg/m³

=====

x:
Zr2CrW | GGA-PBE | relaxed

Structure (POSCAR):
```
Zr2CrW
1.0
2.910 -4.555 0.000
2.910 4.555 0.000
-1.037 0.000 2.752
Zr Cr W
2 1 1
direct
0.000 0.500 0.000 Zr
0.500 0.000 0.000 Zr
0.000 0.000 0.500 Cr
0.500 0.500 0.500 W
```

Values from the calculation:
* space group: C2/m, No. 12
* density of states at the Fermi level: 4.73 states/eV/f.u.
* ρ: 9.522 Mg/m³

=====

Stability verdict: w, ahead by 17 meV per atom

=====

w:
MnCuCl2 | GGA-PBE | relaxed

Structure (POSCAR):
```
MnCuCl2
1.0
0.000 3.239 3.239
3.239 0.000 3.239
3.239 3.239 0.000
Mn Cu Cl
1 1 2
direct
0.000 0.000 0.000 Mn
0.500 0.500 0.500 Cu
0.250 0.250 0.250 Cl
0.750 0.750 0.750 Cl
```

Values from the calculation:
* space group: Fm-3m, No. 225
* density of states at the Fermi level: 0.99 states/eV/f.u.
* ρ: 4.626 Mg/m³

=====

x:
MnCuCl2 | GGA-PBE | relaxed

Structure (POSCAR):
```
MnCuCl2
1.0
3.227 0.000 0.000
0.000 3.227 0.000
0.000 0.000 7.558
Mn Cu Cl
1 1 2
direct
0.000 0.000 0.000 Mn
0.500 0.500 0.800 Cu
0.000 0.000 0.649 Cl
0.500 0.500 0.191 Cl
```

Values from the calculation:
* space group: P4mm, No. 99
* density of states at the Fermi level: 0.76 states/eV/f.u.
* ρ: 3.995 Mg/m³

=====

Stability verdict: x, ahead by 291 meV per atom

=====

w:
Mg2Tc | GGA-PBE | relaxed

Structure (POSCAR):
```
Mg2Tc
1.0
2.502 1.445 4.767
-2.502 1.445 4.767
0.000 -2.889 4.767
Mg Tc
4 2
direct
0.000 0.000 0.000 Mg
0.176 0.824 0.500 Mg
0.500 0.176 0.824 Mg
0.824 0.500 0.176 Mg
0.330 0.330 0.330 Tc
0.670 0.670 0.670 Tc
```

Values from the calculation:
* space group: R32, No. 155
* density of states at the Fermi level: 2.39 states/eV/f.u.
* ρ: 4.710 Mg/m³

=====

x:
Mg2Tc | GGA-PBE | relaxed

Structure (POSCAR):
```
Mg2Tc
1.0
0.000 3.746 3.746
3.746 0.000 3.746
3.746 3.746 0.000
Mg Tc
4 2
direct
0.000 0.000 0.000 Mg
0.000 0.000 0.500 Mg
0.000 0.500 0.000 Mg
0.500 0.000 0.000 Mg
0.375 0.375 0.375 Tc
0.625 0.625 0.625 Tc
```

Values from the calculation:
* space group: Fd-3m, No. 227
* density of states at the Fermi level: 2.78 states/eV/f.u.
* ρ: 4.632 Mg/m³

=====

Stability verdict: w, ahead by 422 meV per atom